No. 1
Here is a PBEsol-optimized structure of LiIn from the Alexandria database. Energies are from meta-GGA SCAN.

```
4
Lattice="-2.205 1.626 1.385 -3.176 -1.884 -2.844 0.309 -5.014 2.975" Properties=species:S:1:pos:R:3 pbc="T T T"
In -3.611 -1.268 -0.857
In -1.461 -4.004 2.374
Li -4.016 -3.413 1.017
Li -1.056 -1.858 0.500
```

Computed properties:
E_tot ... -18.2271 eV/atom
E_form ... -0.34 eV/atom

---

No. 2
Here is a PBEsol-optimized structure of ZrTa2Ir from the Alexandria database. Energies are from meta-GGA SCAN.

```
4
Lattice="-0.929 -3.135 -0.375 3.983 -1.379 1.657 -1.776 0.015 4.280" Properties=species:S:1:pos:R:3 pbc="T T T"
Zr -1.352 -1.560 1.953
Ta 0.000 0.000 0.000
Ta 1.527 -2.257 0.641
Ir 1.103 -0.682 2.969
```

Computed properties:
E_tot ... -59.1923 eV/atom
E_form ... -0.45 eV/atom

---

> E_tot of number 1 (LiIn)?

-18.2271 eV/atom

---

> Which of these has the lowest E_form?

ZrTa2Ir

---

Copy entry 2 word for word.
Here is a PBEsol-optimized structure of ZrTa2Ir from the Alexandria database. Energies are from meta-GGA SCAN.

```
4
Lattice="-0.929 -3.135 -0.375 3.983 -1.379 1.657 -1.776 0.015 4.280" Properties=species:S:1:pos:R:3 pbc="T T T"
Zr -1.352 -1.560 1.953
Ta 0.000 0.000 0.000
Ta 1.527 -2.257 0.641
Ir 1.103 -0.682 2.969
```

Computed properties:
E_tot ... -59.1923 eV/atom
E_form ... -0.45 eV/atom